Entry 1:
A plane-wave DFT calculation with PBE was carried out for a relaxed Pa2Si2Pt3 crystal.

The value obtained for the formation energy without anion corrections is -86.78 kJ/mol of atoms. The calculation puts the total moment at 0.0000 μB per atom.

The space group is C2/m (No. 12) and the conventional cell measures 10.221, 4.013 and 6.874 Å, with angles of 90.00, 114.00 and 90.00 degrees. The distinct sites, in fractional coordinates, are Pa at (0.142, 0.000, 0.273), Si at (0.147, 0.000, 0.719), Pt at (0.000, 0.500, 0.500) and Pt at (0.120, 0.500, 0.939).



Entry 2:
A plane-wave DFT calculation with PBE was carried out for a relaxed Ta2Cd crystal.

The calculated formation energy comes out at 1.74 eV/f.u. The calculation puts the total moment at 0.0000 μB per atom.

The space group is I4/mcm (No. 140) and the conventional cell measures 6.597, 6.597 and 5.297 Å, with angles of 90.00, 90.00 and 90.00 degrees. The distinct sites, in fractional coordinates, are Ta at (0.145, 0.355, 0.000) and Cd at (0.000, 0.000, 0.250).



Entry 3:
A plane-wave DFT calculation with PBE was carried out for a relaxed AgSeSO2 crystal.

The value obtained for the formation energy without anion corrections is 19.02 kJ/mol of atoms. The calculation puts the total moment at 0.0000 μB per atom.

The space group is P4/mmm (No. 123) and the conventional cell measures 3.589, 3.589 and 7.953 Å, with angles of 90.00, 90.00 and 90.00 degrees. The distinct sites, in fractional coordinates, are Ag at (0.000, 0.000, 0.000), Se at (0.500, 0.500, 0.000), S at (0.000, 0.000, 0.500) and O at (0.000, 0.500, 0.500).